# 1
This record from Alexandria via LeMat-Bulk describes a relaxed structure of Nd4GaSi3. The functional is GGA-PBE.

```
Nd4GaSi3
1.0
3.999 0.000 0.000
0.000 4.455 0.000
0.000 0.000 11.113
Nd Ga Si
4 1 3
direct
0.000 0.000 0.000
0.000 0.500 0.495
0.500 0.000 0.714
0.500 0.500 0.216
0.000 0.500 0.786
0.000 0.000 0.286
0.500 0.000 0.426
0.500 0.500 0.930
```

Results
formation energy (no corrections)	-728	meV per atom
space-group type	No. 25
mass density	6.1	g cm⁻³
uncorrected energy	-5.524	eV/atom

***

# 2
This record from Alexandria via LeMat-Bulk describes a relaxed structure of TbDy9Th2. The functional is GGA-PBE.

```
TbDy9Th2
1.0
5.022 0.000 0.000
0.000 5.022 0.000
0.000 0.000 15.022
Tb Dy Th
1 9 2
direct
0.000 0.000 0.000
0.000 0.500 0.168
0.000 0.500 0.500
0.000 0.500 0.832
0.500 0.000 0.168
0.500 0.000 0.500
0.500 0.000 0.832
0.500 0.500 0.000
0.500 0.500 0.333
0.500 0.500 0.667
0.000 0.000 0.334
0.000 0.000 0.666
```

Results
space-group type	No. 123
mass density	9.1	g cm⁻³
uncorrected energy	-5.042	eV/atom

***

The lowest uncorrected energy belongs to which entry?
Nd4GaSi3

***

Repeat the first record exactly.
This record from Alexandria via LeMat-Bulk describes a relaxed structure of Nd4GaSi3. The functional is GGA-PBE.

```
Nd4GaSi3
1.0
3.999 0.000 0.000
0.000 4.455 0.000
0.000 0.000 11.113
Nd Ga Si
4 1 3
direct
0.000 0.000 0.000
0.000 0.500 0.495
0.500 0.000 0.714
0.500 0.500 0.216
0.000 0.500 0.786
0.000 0.000 0.286
0.500 0.000 0.426
0.500 0.500 0.930
```

Results
formation energy (no corrections)	-728	meV per atom
space-group type	No. 25
mass density	6.1	g cm⁻³
uncorrected energy	-5.524	eV/atom

***

Which formula does entry 2 have?
TbDy9Th2

***

What is the mass density in the second record?
9.1 g cm⁻³